Material: YFeSi
Method: DFT, GGA-PBE
State: optimized geometry

The structure belongs to space group F-43m (No. 216); the cell edges are 6.295, 6.295 and 6.295 Å and the angles 90.00°, 90.00° and 90.00°. Symmetry generates all atoms from Y at (0.000, 0.000, 0.000), Fe at (0.000, 0.000, 0.500) and Si at (0.250, 0.250, 0.750).

The total energy is -6.862 eV per atom.

=====

Material: YFeSi2
Method: DFT, GGA-PBE
State: optimized geometry

The structure belongs to space group P4/mmm (No. 123); the cell edges are 3.018, 3.018 and 6.762 Å and the angles 90.00°, 90.00° and 90.00°. Symmetry generates all atoms from Y at (0.000, 0.000, 0.000), Fe at (0.000, 0.000, 0.500) and Si at (0.500, 0.500, 0.315).

The total energy is -6.787 eV per atom.

=====

Material: YFeSi2
Method: DFT, GGA-PBE
State: optimized geometry

The structure belongs to space group P4mm (No. 99); the cell edges are 3.132, 3.132 and 6.487 Å and the angles 90.00°, 90.00° and 90.00°. Symmetry generates all atoms from Y at (0.000, 0.000, 0.000), Fe at (0.500, 0.500, 0.327), Si at (0.000, 0.000, 0.466) and Si at (0.500, 0.500, 0.686).

The total energy is -6.686 eV per atom.